(1)
First-principles (GGA-PBEsol) data for an optimized crystal structure of Cu3NiN, as listed in Alexandria via LeMat-Bulk.

Cell: 4.262 4.262 4.262 Å, 90.00 90.00 90.00°
Space group Pm-3m (No. 221)
Asymmetric unit:
Cu 0.000 0.000 0.500
Ni 0.000 0.000 0.000
N 0.500 0.500 0.500

Calculated values
As for the formation energy (no corrections): 1987 meV per atom. The calculation puts the polymorph energy (0 for the lowest one) at 822 kJ/mol of formula units. The calculation puts the total moment at 2.21 Bohr magnetons per cell.

=====

(2)
First-principles (GGA-PBEsol) data for an optimized crystal structure of Cu3NiN, as listed in Alexandria via LeMat-Bulk.

Cell: 3.747 3.747 3.747 Å, 90.00 90.00 90.00°
Space group Pm-3m (No. 221)
Asymmetric unit:
Cu 0.000 0.000 0.500
Ni 0.500 0.500 0.500
N 0.000 0.000 0.000

Calculated values
As for the formation energy (no corrections): 283 meV per atom. The calculation puts the polymorph energy (0 for the lowest one) at 0 kJ/mol of formula units. The calculation puts the total moment at 0.00 Bohr magnetons per cell.

=====

(3)
First-principles (GGA-PBEsol) data for an optimized crystal structure of CuNiS2N, as listed in Alexandria via LeMat-Bulk.

Cell: 4.604 4.604 3.320 Å, 90.00 90.00 90.00°
Space group P4/mmm (No. 123)
Asymmetric unit:
Cu 0.000 0.000 0.000
Ni 0.500 0.500 0.500
S 0.000 0.500 0.500
N 0.500 0.500 0.000

Calculated values
As for the formation energy (no corrections): 720 meV per atom. The calculation puts the total moment at 0.00 Bohr magnetons per cell.

=====

Number 1: volume 77.4 Å³ per cell. Number 2: volume 52.6 Å³ per cell. Number 3: volume 70.4 Å³ per cell.